[1]
# K2InTc PBEsol optimized geometry
# - SG = Immm (71)
# - energy of formation from the pure elements (eV per atom) = 0.6357
data_K2InTc
_symmetry_space_group_name_H-M 'P 1'
_symmetry_Int_Tables_number 1
_symmetry_space_group_name_Hall 'P 1'
_cell_length_a 3.5372
_cell_length_b 4.0268
_cell_length_c 10.3860
_cell_angle_alpha 101.18
_cell_angle_beta 99.80
_cell_angle_gamma 90.00
loop_
_atom_site_label
_atom_site_fract_x
_atom_site_fract_y
_atom_site_fract_z
K1 0.8532 0.8532 0.7065
In1 0.0000 0.5000 0.0000
K2 0.1468 0.1468 0.2935
Tc1 0.5000 0.0000 0.0000

[2]
# K2InTc PBEsol optimized geometry
# - SG = I4/mmm (139)
# - energy of formation from the pure elements (eV per atom) = 0.9720
data_K2InTc
_symmetry_space_group_name_H-M 'P 1'
_symmetry_Int_Tables_number 1
_symmetry_space_group_name_Hall 'P 1'
_cell_length_a 4.1549
_cell_length_b 4.1549
_cell_length_c 6.4731
_cell_angle_alpha 108.72
_cell_angle_beta 108.72
_cell_angle_gamma 90.00
loop_
_atom_site_label
_atom_site_fract_x
_atom_site_fract_y
_atom_site_fract_z
In1 0.0000 0.0000 0.0000
K1 0.7500 0.2500 0.5000
K2 0.2500 0.7500 0.5000
Tc1 0.5000 0.5000 0.0000